Here is crystalline Fe4Ge at its relaxed geometry from the Alexandria database. Energies are from PBE-GGA.

abc: 4.341 4.341 4.341
angles: 90.00 90.00 90.00
Space group Pm-3m (No. 221)
Inequivalent atoms, fractional coordinates:
Fe 0.000 0.000 0.000 [1 per cell]
Fe 0.000 0.500 0.500 [3 per cell]
Ge 0.500 0.500 0.500 [1 per cell]

Computed properties:
Its density is 6.01 g cm⁻³. The excess energy over the best structure of this formula in the dataset comes out at 1.110 eV/atom. The density of states at the Fermi level comes out at 1.10 states/eV per atom. For the energy of formation from the pure elements, the calculation gives 1.05 eV per atom.

Here is crystalline MgNpBi3 at its relaxed geometry from the Alexandria database. Energies are from PBE-GGA.

abc: 13.577 6.456 6.556
angles: 90.00 90.00 90.00
Space group Pbcm (No. 57)
Inequivalent atoms, fractional coordinates:
Mg 0.113 0.250 0.000 [4 per cell]
Np 0.314 0.501 0.250 [4 per cell]
Bi 0.080 0.666 0.250 [4 per cell]
Bi 0.271 0.502 0.750 [4 per cell]
Bi 0.498 0.250 0.000 [4 per cell]

Computed properties:
Its density is 10.27 g cm⁻³. The density of states at the Fermi level comes out at 2.64 states/eV per atom. For the energy of formation from the pure elements, the calculation gives -0.04 eV per atom.

Here is crystalline Li4Sn2Ge at its relaxed geometry from the Alexandria database. Energies are from PBE-GGA.

abc: 4.910 4.910 13.625
angles: 90.00 90.00 90.00
Space group I4/mmm (No. 139)
Inequivalent atoms, fractional coordinates:
Li 0.000 0.000 0.186 [4 per cell]
Li 0.000 0.500 0.000 [4 per cell]
Sn 0.000 0.000 0.393 [4 per cell]
Ge 0.000 0.000 0.000 [2 per cell]

Computed properties:
Its density is 3.42 g cm⁻³. The excess energy over the best structure of this formula in the dataset comes out at 0.184 eV/atom. The density of states at the Fermi level comes out at 0.64 states/eV per atom. For the energy of formation from the pure elements, the calculation gives -0.04 eV per atom.

Here is crystalline Tl2InH at its relaxed geometry from the Alexandria database. Energies are from PBE-GGA.

abc: 7.288 7.288 7.288
angles: 90.00 90.00 90.00
Space group Fm-3m (No. 225)
Inequivalent atoms, fractional coordinates:
Tl 0.250 0.250 0.250 [8 per cell]
In 0.000 0.000 0.000 [4 per cell]
H 0.000 0.000 0.500 [4 per cell]

Computed properties:
Its density is 9.00 g cm⁻³. The excess energy over the best structure of this formula in the dataset comes out at 0.260 eV/atom. The density of states at the Fermi level comes out at 0.50 states/eV per atom.

Here is crystalline LiAlC at its relaxed geometry from the Alexandria database. Energies are from PBE-GGA.

abc: 4.8908 4.8908 7.1624
angles: 90.00 90.00 120.00
Space group P6_3/mmc (No. 194)
Inequivalent atoms, fractional coordinates:
Li 0.3333 0.6667 0.2500 [2 per cell]
Al 0.0000 0.0000 0.2500 [2 per cell]
C 0.0000 0.0000 0.0000 [2 per cell]

Computed properties:
Its density is 1.03 g cm⁻³. The density of states at the Fermi level comes out at 0.06 states/eV per atom. For the energy of formation from the pure elements, the calculation gives 1.10 eV per atom.

Here is crystalline LaCeYTh at its relaxed geometry from the Alexandria database. Energies are from PBE-GGA.

abc: 8.071 8.071 8.071
angles: 90.00 90.00 90.00
Space group F-43m (No. 216)
Inequivalent atoms, fractional coordinates:
La 0.000 0.000 0.000 [4 per cell]
Ce 0.250 0.250 0.750 [4 per cell]
Y 0.250 0.250 0.250 [4 per cell]
Th 0.000 0.000 0.500 [4 per cell]

Computed properties:
Its density is 7.58 g cm⁻³. The excess energy over the best structure of this formula in the dataset comes out at 0.177 eV/atom. The density of states at the Fermi level comes out at 3.48 states/eV per atom. For the energy of formation from the pure elements, the calculation gives 0.21 eV per atom.

Here is crystalline KTlSbAu at its relaxed geometry from the Alexandria database. Energies are from PBE-GGA.

abc: 8.300 4.780 7.191
angles: 90.00 112.65 90.00
Space group Cm (No. 8)
Inequivalent atoms, fractional coordinates:
K 0.000 0.000 0.000 [2 per cell]
Tl 0.288 0.500 0.363 [2 per cell]
Sb 0.052 0.500 0.654 [2 per cell]
Au 0.204 0.000 0.609 [2 per cell]

Computed properties:
Its density is 7.09 g cm⁻³. The density of states at the Fermi level comes out at 0.09 states/eV per atom. As for the raw total energy: -3.024 eV/atom.

Here is crystalline Ce3P2C at its relaxed geometry from the Alexandria database. Energies are from PBE-GGA.

abc: 6.897 11.897 6.799
angles: 90.00 109.03 90.00
Space group C2/c (No. 15)
Inequivalent atoms, fractional coordinates:
Ce 0.223 0.075 0.002 [8 per cell]
Ce 0.250 0.250 0.500 [4 per cell]
P 0.000 0.257 0.750 [4 per cell]
P 0.000 0.417 0.250 [4 per cell]
C 0.000 0.076 0.250 [4 per cell]

Computed properties:
Its density is 6.23 g cm⁻³. The density of states at the Fermi level comes out at 1.37 states/eV per atom. For the energy of formation from the pure elements, the calculation gives -0.95 eV per atom.

Here is crystalline CaAcPmMg at its relaxed geometry from the Alexandria database. Energies are from PBE-GGA.

abc: 8.272 8.272 8.272
angles: 90.00 90.00 90.00
Space group F-43m (No. 216)
Inequivalent atoms, fractional coordinates:
Ca 0.000 0.000 0.000 [4 per cell]
Ac 0.250 0.250 0.250 [4 per cell]
Pm 0.250 0.250 0.750 [4 per cell]
Mg 0.000 0.000 0.500 [4 per cell]

Computed properties:
Its density is 5.12 g cm⁻³. The excess energy over the best structure of this formula in the dataset comes out at 0.054 eV/atom. The density of states at the Fermi level comes out at 0.97 states/eV per atom. For the energy of formation from the pure elements, the calculation gives 0.04 eV per atom.

Here is crystalline La2PuHgO8 at its relaxed geometry from the Alexandria database. Energies are from PBE-GGA.

abc: 4.429 7.964 5.406
angles: 90.00 96.84 90.00
Space group P2/m (No. 10)
Inequivalent atoms, fractional coordinates:
La 0.000 0.248 0.000 [2 per cell]
Pu 0.500 0.500 0.500 [1 per cell]
Hg 0.500 0.000 0.500 [1 per cell]
O 0.100 0.500 0.277 [2 per cell]
O 0.160 0.000 0.216 [2 per cell]
O 0.417 0.315 0.729 [4 per cell]

Computed properties:
Its density is 7.46 g cm⁻³. As for the raw total energy: -7.696 eV/atom.

Here is crystalline Mg2Pd2Pb at its relaxed geometry from the Alexandria database. Energies are from PBE-GGA.

abc: 4.132 4.132 12.126
angles: 90.00 90.00 90.00
Space group I4/mmm (No. 139)
Inequivalent atoms, fractional coordinates:
Mg 0.000 0.500 0.250 [4 per cell]
Pd 0.000 0.000 0.110 [4 per cell]
Pb 0.000 0.000 0.500 [2 per cell]

Computed properties:
Its density is 7.52 g cm⁻³. The density of states at the Fermi level comes out at 0.44 states/eV per atom. For the energy of formation from the pure elements, the calculation gives -0.31 eV per atom.

Here is crystalline CaAgI4 at its relaxed geometry from the Alexandria database. Energies are from PBE-GGA.

abc: 16.506 4.433 7.410
angles: 90.00 116.18 90.00
Space group C2/m (No. 12)
Inequivalent atoms, fractional coordinates:
Ca 0.000 0.000 0.000 [2 per cell]
Ag 0.000 0.500 0.500 [2 per cell]
I 0.118 0.500 0.301 [4 per cell]
I 0.120 0.000 0.776 [4 per cell]

Computed properties:
Its density is 4.47 g cm⁻³. The density of states at the Fermi level comes out at 1.43 states/eV per atom. As for the raw total energy: -2.644 eV/atom.

Here is crystalline LiThBiN at its relaxed geometry from the Alexandria database. Energies are from PBE-GGA.

abc: 3.410 3.410 14.257
angles: 90.00 90.00 90.00
Space group I4mm (No. 107)
Inequivalent atoms, fractional coordinates:
Li 0.000 0.000 0.000 [2 per cell]
Th 0.000 0.000 0.321 [2 per cell]
Bi 0.000 0.000 0.621 [2 per cell]
N 0.000 0.000 0.862 [2 per cell]

Computed properties:
Its density is 9.25 g cm⁻³. The density of states at the Fermi level comes out at 0.42 states/eV per atom. As for the raw total energy: -6.229 eV/atom.

Here is crystalline In2CuTc2 at its relaxed geometry from the Alexandria database. Energies are from PBE-GGA.

abc: 6.512 6.512 4.256
angles: 90.00 90.00 90.00
Space group P4/mbm (No. 127)
Inequivalent atoms, fractional coordinates:
In 0.176 0.324 0.000 [4 per cell]
Cu 0.000 0.000 0.500 [2 per cell]
Tc 0.127 0.627 0.500 [4 per cell]

Computed properties:
Its density is 9.00 g cm⁻³. The density of states at the Fermi level comes out at 1.22 states/eV per atom. For the energy of formation from the pure elements, the calculation gives 0.31 eV per atom.

Here is crystalline NaMg4Au5 at its relaxed geometry from the Alexandria database. Energies are from PBE-GGA.

abc: 3.325 3.325 17.048
angles: 90.00 90.00 90.00
Space group P4/mmm (No. 123)
Inequivalent atoms, fractional coordinates:
Na 0.000 0.000 0.000 [1 per cell]
Mg 0.000 0.000 0.211 [2 per cell]
Mg 0.000 0.000 0.404 [2 per cell]
Au 0.500 0.500 0.122 [2 per cell]
Au 0.500 0.500 0.310 [2 per cell]
Au 0.500 0.500 0.500 [1 per cell]

Computed properties:
Its density is 9.74 g cm⁻³. The density of states at the Fermi level comes out at 0.25 states/eV per atom. For the energy of formation from the pure elements, the calculation gives -0.54 eV per atom.

Here is crystalline AcNdSnI at its relaxed geometry from the Alexandria database. Energies are from PBE-GGA.

abc: 8.063 8.063 8.063
angles: 90.00 90.00 90.00
Space group F-43m (No. 216)
Inequivalent atoms, fractional coordinates:
Ac 0.000 0.000 0.000 [4 per cell]
Nd 0.000 0.000 0.500 [4 per cell]
Sn 0.250 0.250 0.750 [4 per cell]
I 0.250 0.250 0.250 [4 per cell]

Computed properties:
Its density is 7.82 g cm⁻³. The density of states at the Fermi level comes out at 0.99 states/eV per atom. As for the raw total energy: -4.384 eV/atom.

Here is crystalline CsMnV2I at its relaxed geometry from the Alexandria database. Energies are from PBE-GGA.

abc: 5.778 5.778 6.726
angles: 90.00 90.00 90.00
Space group P4/mmm (No. 123)
Inequivalent atoms, fractional coordinates:
Cs 0.000 0.000 0.000 [1 per cell]
Mn 0.500 0.500 0.500 [1 per cell]
V 0.000 0.500 0.000 [2 per cell]
I 0.000 0.000 0.500 [1 per cell]

Computed properties:
Its density is 3.08 g cm⁻³. The density of states at the Fermi level comes out at 2.12 states/eV per atom. As for the raw total energy: -3.701 eV/atom.

Here is crystalline K2TlRuCl at its relaxed geometry from the Alexandria database. Energies are from PBE-GGA.

abc: 5.684 5.684 6.099
angles: 90.00 90.00 90.00
Space group P4/mmm (No. 123)
Inequivalent atoms, fractional coordinates:
K 0.000 0.500 0.000 [2 per cell]
Tl 0.000 0.000 0.500 [1 per cell]
Ru 0.500 0.500 0.500 [1 per cell]
Cl 0.000 0.000 0.000 [1 per cell]

Computed properties:
Its density is 3.53 g cm⁻³. The density of states at the Fermi level comes out at 2.27 states/eV per atom. As for the raw total energy: -2.761 eV/atom.

Here is crystalline Ce3MgSb3 at its relaxed geometry from the Alexandria database. Energies are from PBE-GGA.

abc: 9.3074 9.3074 6.2980
angles: 90.00 90.00 120.00
Space group P6_3/m (No. 176)
Inequivalent atoms, fractional coordinates:
Ce 0.0765 0.6846 0.2500 [6 per cell]
Mg 0.3333 0.6667 0.7500 [2 per cell]
Sb 0.0608 0.7146 0.7500 [6 per cell]

Computed properties:
Its density is 5.69 g cm⁻³. The density of states at the Fermi level comes out at 3.17 states/eV per atom. As for the raw total energy: -5.223 eV/atom.

Here is crystalline La11Tm9Th4 at its relaxed geometry from the Alexandria database. Energies are from PBE-GGA.

abc: 17.118 25.941 3.714
angles: 90.00 90.00 90.00
Space group Cmmm (No. 65)
Inequivalent atoms, fractional coordinates:
La 0.000 0.000 0.000 [2 per cell]
La 0.000 0.159 0.000 [4 per cell]
La 0.000 0.369 0.000 [4 per cell]
La 0.206 0.500 0.000 [4 per cell]
La 0.228 0.181 0.000 [8 per cell]
Tm 0.000 0.500 0.500 [2 per cell]
Tm 0.101 0.266 0.500 [8 per cell]
Tm 0.139 0.073 0.500 [8 per cell]
Th 0.157 0.398 0.500 [8 per cell]

Computed properties:
Its density is 8.01 g cm⁻³. The density of states at the Fermi level comes out at 1.50 states/eV per atom. For the energy of formation from the pure elements, the calculation gives 0.11 eV per atom.

Here is crystalline LiGaFe2C at its relaxed geometry from the Alexandria database. Energies are from PBE-GGA.

abc: 3.712 3.712 3.893
angles: 90.00 90.00 90.00
Space group P4/mmm (No. 123)
Inequivalent atoms, fractional coordinates:
Li 0.000 0.000 0.000 [1 per cell]
Ga 0.500 0.500 0.000 [1 per cell]
Fe 0.000 0.500 0.500 [2 per cell]
C 0.000 0.000 0.500 [1 per cell]

Computed properties:
Its density is 6.20 g cm⁻³. The excess energy over the best structure of this formula in the dataset comes out at 0.000 eV/atom. The density of states at the Fermi level comes out at 0.75 states/eV per atom. For the energy of formation from the pure elements, the calculation gives -0.04 eV per atom.

Here is crystalline Ho6MgIn2 at its relaxed geometry from the Alexandria database. Energies are from PBE-GGA.

abc: 16.334 7.383 5.120
angles: 90.00 108.17 90.00
Space group C2/m (No. 12)
Inequivalent atoms, fractional coordinates:
Ho 0.000 0.248 0.000 [4 per cell]
Ho 0.166 0.251 0.667 [8 per cell]
Mg 0.000 0.500 0.500 [2 per cell]
In 0.168 0.000 0.168 [4 per cell]

Computed properties:
Its density is 7.04 g cm⁻³. The density of states at the Fermi level comes out at 1.48 states/eV per atom. For the energy of formation from the pure elements, the calculation gives 0.10 eV per atom.

Here is crystalline TbVGa2 at its relaxed geometry from the Alexandria database. Energies are from PBE-GGA.

abc: 4.2177 4.2177 15.4456
angles: 90.00 90.00 120.00
Space group R-3m (No. 166, hexagonal axes)
Inequivalent atoms, fractional coordinates:
Tb 0.0000 0.0000 0.0000 [3 per cell]
V 0.0000 0.0000 0.5000 [3 per cell]
Ga 0.0000 0.0000 0.2209 [6 per cell]

Computed properties:
Its density is 7.31 g cm⁻³. The density of states at the Fermi level comes out at 0.92 states/eV per atom. For the energy of formation from the pure elements, the calculation gives -0.20 eV per atom.

Here is crystalline PaTiNi3 at its relaxed geometry from the Alexandria database. Energies are from PBE-GGA.

abc: 8.661 3.904 9.138
angles: 90.00 90.00 90.00
Space group Pnma (No. 62)
Inequivalent atoms, fractional coordinates:
Pa 0.185 0.250 0.018 [4 per cell]
Ti 0.066 0.250 0.380 [4 per cell]
Ni 0.074 0.750 0.196 [4 per cell]
Ni 0.123 0.750 0.826 [4 per cell]
Ni 0.142 0.250 0.647 [4 per cell]

Computed properties:
Its density is 9.78 g cm⁻³. The density of states at the Fermi level comes out at 0.94 states/eV per atom. For the energy of formation from the pure elements, the calculation gives -0.28 eV per atom.